Below is crystalline CoTe6Rh3 at its relaxed geometry, with properties calculated at the GGA-PBE level.

Cell and atoms, written as extended XYZ:
```
20
Lattice="6.717 0.000 -0.020 0.000 6.887 0.000 0.041 0.000 9.840" Properties=species:S:1:pos:R:3 pbc="T T T"
Co 3.379 3.443 4.910
Co 0.000 0.000 0.000
Te 4.552 1.154 9.466
Te 4.642 1.349 5.991
Te 4.305 2.934 2.562
Te 2.454 3.953 7.258
Te 2.116 5.538 3.829
Te 2.206 5.733 0.354
Te 1.173 2.289 4.556
Te 1.263 2.095 1.081
Te 0.967 0.509 7.492
Te 5.791 6.377 2.328
Te 5.495 4.792 8.739
Te 5.585 4.597 5.264
Rh 3.370 6.400 7.863
Rh 3.358 3.443 -0.010
Rh 3.388 0.486 1.957
Rh 6.708 3.930 2.933
Rh 0.021 0.000 4.920
Rh 0.050 2.957 6.887
```

Summary:
magnetization: 0.00 μB per formula unit
formation energy without anion corrections: -0.248 eV per atom
symmetry: P2_1/c (14)